This record from Alexandria via LeMat-Bulk describes an optimized crystal structure of SrCrIN2. The functional is PBE. Values from VASP.

Size of the total moment = 0.99 μB per cell
ΔE_f (raw) = 0.259 eV/atom
SG = P4/mmm
N(E_F) = 0.50 states/eV per atom
ΔE to the lowest computed polymorph = 0 meV per atom

```
&SYSTEM
  ibrav = 0, nat = 5, ntyp = 4
/
ATOMIC_SPECIES
Sr 87.62 Sr.upf
Cr 52.00 Cr.upf
I 126.90 I.upf
N 14.01 N.upf
CELL_PARAMETERS angstrom
4.140 0.000 0.000
0.000 4.140 0.000
0.000 0.000 5.373
ATOMIC_POSITIONS crystal
Sr 0.000 0.000 0.000
Cr 0.500 0.500 0.500
I 0.500 0.500 0.000
N 0.000 0.500 0.500
N 0.500 0.000 0.500
```